No. 1
Below is crystalline Cs2RbIF6 at its relaxed geometry, with properties calculated at the PBE level.

It has space group I4/mmm (No. 139), with a = 7.297 Å, b = 7.297 Å, c = 9.458 Å, α = 90.00°, β = 90.00° and γ = 90.00°. The distinct sites, in fractional coordinates, are Cs at (0.000, 0.500, 0.250), Rb at (0.000, 0.000, 0.000), I at (0.000, 0.000, 0.500), F at (0.000, 0.000, 0.283) and F at (0.241, 0.241, 0.500).

The value obtained for the polymorph energy (0 for the lowest one) is 16.68 kJ/mol of atoms.

No. 2
Below is crystalline Cs3ReI2F6 at its relaxed geometry, with properties calculated at the PBE level.

It has space group C2/m (No. 12), with a = 17.577 Å, b = 8.427 Å, c = 6.069 Å, α = 90.00°, β = 90.96° and γ = 90.00°. The distinct sites, in fractional coordinates, are Cs at (0.000, 0.000, 0.000), Cs at (0.250, 0.250, 0.500), Re at (0.000, 0.500, 0.500), I at (0.208, 0.000, 0.998), F at (0.002, 0.336, 0.719) and F at (0.111, 0.500, 0.497).

No. 3
Below is crystalline Cs2RhI6F at its relaxed geometry, with properties calculated at the PBE level.

It has space group I4/mmm (No. 139), with a = 7.642 Å, b = 7.642 Å, c = 12.942 Å, α = 90.00°, β = 90.00° and γ = 90.00°. The distinct sites, in fractional coordinates, are Cs at (0.000, 0.500, 0.250), Rh at (0.000, 0.000, 0.000), I at (0.000, 0.000, 0.209), I at (0.248, 0.248, 0.500) and F at (0.000, 0.000, 0.500).

No. 4
Below is crystalline Cs2RuIF6 at its relaxed geometry, with properties calculated at the PBE level.

It has space group I4/mmm (No. 139), with a = 7.199 Å, b = 7.199 Å, c = 10.108 Å, α = 90.00°, β = 90.00° and γ = 90.00°. The distinct sites, in fractional coordinates, are Cs at (0.000, 0.500, 0.250), Ru at (0.000, 0.000, 0.000), I at (0.000, 0.000, 0.500), F at (0.000, 0.000, 0.191) and F at (0.190, 0.190, 0.000).

Number 1: formation energy (no corrections) -2056 meV per atom, total magnetic moment 2.0 μB per formula unit, D(E_F) 0.00 states/eV per atom. Number 2: formation energy (no corrections) -2071 meV per atom, total magnetic moment 2.1 μB per formula unit, D(E_F) 1.23 states/eV per atom. Number 3: formation energy (no corrections) -785 meV per atom, total magnetic moment 0.0 μB per formula unit, D(E_F) 0.65 states/eV per atom. Number 4: formation energy (no corrections) -1969 meV per atom, total magnetic moment 3.1 μB per formula unit, D(E_F) 1.02 states/eV per atom.